Material: AlSbMoI2
Method: DFT, PBE
State: relaxed

Unit cell a=5.741 b=5.741 c=5.243 alpha=90.00 beta=90.00 gamma=90.00
Space group P4/mmm (No. 123)
Asymmetric unit:
Al 0.000 0.000 0.000 [1 per cell]
Sb 0.500 0.500 0.000 [1 per cell]
Mo 0.500 0.500 0.500 [1 per cell]
I 0.000 0.500 0.500 [2 per cell]

* uncorrected formation energy: 0.576 eV per atom
* total magnetization: 1.84 μB/f.u.